[1]
# Sr3Sb2Cl

An optimized crystal structure of Sr3Sb2Cl (PBE, Alexandria).

Calculated values
total moment: 0.00 μB/atom
space group: No. 62
ΔE_f (raw): -1319 meV per atom

Cell lengths 4.210, 10.958, 18.634 Å; angles 90.00, 90.00, 90.00 degrees
Fractional positions:
Sr 0.250 0.373 0.762
Sr 0.750 0.627 0.238
Sr 0.750 0.127 0.262
Sr 0.250 0.873 0.738
Sr 0.750 0.107 0.905
Sr 0.250 0.893 0.095
Sr 0.250 0.393 0.405
Sr 0.750 0.607 0.595
Sr 0.250 0.132 0.579
Sr 0.750 0.868 0.421
Sr 0.750 0.368 0.079
Sr 0.250 0.632 0.921
Sb 0.250 0.332 0.939
Sb 0.750 0.668 0.061
Sb 0.750 0.168 0.439
Sb 0.250 0.832 0.561
Sb 0.750 0.128 0.727
Sb 0.250 0.872 0.273
Sb 0.250 0.372 0.227
Sb 0.750 0.628 0.773
Cl 0.250 0.418 0.587
Cl 0.750 0.582 0.413
Cl 0.750 0.082 0.087
Cl 0.250 0.918 0.913

[2]
# SrSbCl4

An optimized crystal structure of SrSbCl4 (PBE, Alexandria).

Calculated values
total moment: 0.16 μB/atom
space group: No. 216
ΔE_f (raw): -321 meV per atom

Cell lengths 6.104, 6.104, 6.104 Å; angles 60.00, 60.00, 60.00 degrees
Fractional positions:
Sr 0.000 0.000 0.000
Sb 0.750 0.750 0.750
Cl 0.876 0.375 0.375
Cl 0.375 0.375 0.876
Cl 0.375 0.876 0.375
Cl 0.375 0.375 0.375

[3]
# Sr2SbCl

An optimized crystal structure of Sr2SbCl (PBE, Alexandria).

Calculated values
total moment: 0.00 μB/atom
space group: No. 123
ΔE_f (raw): -1531 meV per atom

Cell lengths 4.684, 4.684, 6.405 Å; angles 90.00, 90.00, 90.00 degrees
Fractional positions:
Sb 0.500 0.500 0.875
Cl 0.000 0.000 0.375
Sr 0.000 0.000 0.875
Sr 0.500 0.500 0.375

[4]
# Sr2SbCl

An optimized crystal structure of Sr2SbCl (PBE, Alexandria).

Calculated values
total moment: 0.00 μB/atom
space group: No. 38
ΔE_f (raw): -1449 meV per atom

Cell lengths 6.604, 6.604, 5.026 Å; angles 89.99, 89.99, 38.34 degrees
Fractional positions:
Cl 0.508 0.508 0.625
Sb 0.266 0.266 0.125
Sr 0.989 0.989 0.125
Sr 0.737 0.737 0.625

[5]
# Sr3SbCl

An optimized crystal structure of Sr3SbCl (PBE, Alexandria).

Calculated values
total moment: 0.00 μB/atom
space group: No. 221
ΔE_f (raw): -785 meV per atom
excess energy over the best structure of this formula in the dataset: 0.0 meV/atom

Cell lengths 5.600, 5.600, 5.600 Å; angles 90.00, 90.00, 90.00 degrees
Fractional positions:
Sb 0.500 0.500 0.500
Cl 0.000 0.000 0.000
Sr 0.000 0.500 0.000
Sr 0.000 0.000 0.500
Sr 0.500 0.000 0.000

[6]
# Sr2SbCl

An optimized crystal structure of Sr2SbCl (PBE, Alexandria).

Calculated values
total moment: 0.00 μB/atom
space group: No. 216
ΔE_f (raw): -707 meV per atom

Cell lengths 5.649, 5.649, 5.649 Å; angles 60.00, 60.00, 60.00 degrees
Fractional positions:
Cl 0.500 0.500 0.500
Sb 0.750 0.750 0.750
Sr 0.000 0.000 0.000
Sr 0.250 0.250 0.250